12
Lattice="-4.074 2.819 -1.786 2.734 -3.059 -3.301 -4.957 -6.152 1.596" Properties=species:S:1:pos:R:3 comment="PBE+U KWS2O8, relaxed" final_energy_ev_per_fu=-75.442 mass_density_g_cm3=3.56 dos_ef_per_ev_atom=0.00 pbc="T T T"
K -2.478 -3.076 0.798
W 0.000 0.000 0.000
S -3.330 -5.810 -1.574
S -2.966 -0.582 -1.917
O -3.853 -5.685 -0.183
O -2.590 -7.098 -1.708
O -4.472 -5.796 -2.533
O -1.824 -0.597 -0.958
O -3.859 -1.691 -1.629
O -2.437 -4.702 -1.862
O -2.443 -0.708 -3.308
O -3.706 0.705 -1.783